1.
A plane-wave DFT calculation with PBE-GGA was carried out for a geometry-optimized Ac4Pr3Sm4 structure.

a = 3.810 Å, b = 5.286 Å, c = 21.193 Å
α = 97.15°, β = 94.73°, γ = 90.00°
Element x y z (fractional)
Sm1 0.094 0.092 0.186
Sm2 0.731 0.730 0.458
Sm3 0.906 0.909 0.814
Sm4 0.268 0.270 0.542
Pr1 0.634 0.634 0.272
Pr2 0.366 0.366 0.728
Pr3 0.000 0.000 0.000
Ac1 0.818 0.817 0.635
Ac2 0.182 0.183 0.365
Ac3 0.453 0.454 0.906
Ac4 0.547 0.546 0.093

## Properties
The total energy is -49.60 eV for the cell shown. As for the calculated volume: 422.0 Å³/cell. For the formation energy from the elements, the calculation gives 0.005 eV per atom. For the magnetization, the calculation gives 0.000 μB/f.u. The crystal system is triclinic. The mass density comes out at 7.60 g cm⁻³.

---

2.
A plane-wave DFT calculation with PBE-GGA was carried out for a geometry-optimized Ac2Al3HgPt4 structure.

a = 4.430 Å, b = 4.430 Å, c = 10.926 Å
α = 90.00°, β = 90.00°, γ = 90.00°
Element x y z (fractional)
Pt1 0.500 0.500 0.000
Pt2 0.500 0.000 0.657
Pt3 0.000 0.000 0.000
Pt4 0.000 0.500 0.343
Ac1 0.000 0.500 0.754
Ac2 0.500 0.000 0.246
Al1 0.000 0.000 0.500
Al2 0.500 0.000 0.887
Al3 0.000 0.500 0.113
Hg1 0.500 0.500 0.500

## Properties
The total energy is -53.45 eV for the cell shown. As for the calculated volume: 214.4 Å³/cell. For the formation energy from the elements, the calculation gives -0.954 eV per atom. For the magnetization, the calculation gives 0.000 μB/f.u. The crystal system is tetragonal. The mass density comes out at 11.74 g cm⁻³.

---

3.
A plane-wave DFT calculation with PBE-GGA was carried out for a geometry-optimized DyTaV4 structure.

a = 5.187 Å, b = 5.187 Å, c = 5.187 Å
α = 60.00°, β = 60.00°, γ = 60.00°
Element x y z (fractional)
V1 0.625 0.125 0.625
V2 0.625 0.625 0.625
V3 0.125 0.625 0.625
V4 0.625 0.625 0.125
Dy1 0.250 0.250 0.250
Ta1 0.000 0.000 0.000

## Properties
The total energy is -51.60 eV for the cell shown. As for the calculated volume: 98.7 Å³/cell. For the formation energy from the elements, the calculation gives 0.222 eV per atom. For the magnetization, the calculation gives 0.000 μB/f.u. The crystal system is cubic. The mass density comes out at 9.21 g cm⁻³.

---

4.
A plane-wave DFT calculation with PBE-GGA was carried out for a geometry-optimized HfGeBiIr2N structure.

a = 3.677 Å, b = 3.677 Å, c = 28.678 Å
α = 90.00°, β = 90.00°, γ = 120.00°
Element x y z (fractional)
Ir1 0.667 0.333 0.464
Ir2 0.333 0.667 0.797
Ir3 0.000 0.000 0.131
Ir4 0.000 0.000 0.035
Ir5 0.333 0.667 0.702
Ir6 0.667 0.333 0.368
N1 0.000 0.000 0.960
N2 0.667 0.333 0.294
N3 0.333 0.667 0.627
Bi1 0.333 0.667 0.192
Bi2 0.000 0.000 0.525
Bi3 0.667 0.333 0.858
Ge1 0.667 0.333 0.082
Ge2 0.333 0.667 0.415
Ge3 0.000 0.000 0.749
Hf1 0.333 0.667 0.301
Hf2 0.000 0.000 0.635
Hf3 0.667 0.333 0.968

## Properties
The total energy is -142.39 eV for the cell shown. For the formation energy (no corrections), the calculation gives -0.494 eV per atom. As for the calculated volume: 335.8 Å³/cell. For the magnetization, the calculation gives 0.000 μB/f.u. The crystal system is trigonal. The mass density comes out at 12.74 g cm⁻³.